Record 1
VASP calculation (GGA-PBE) on a relaxed VNiOs3 crystal.

```
5
Lattice="4.382 0.000 0.000 0.000 4.382 0.000 0.000 0.000 4.382" Properties=species:S:1:pos:R:3 pbc="T T T"
V 0.000 0.000 0.000
Ni 2.191 2.191 2.191
Os 0.000 2.191 2.191
Os 2.191 0.000 2.191
Os 2.191 2.191 0.000
```

Summary:
* energy of formation from the pure elements: 1.78 eV per atom
* symmetry: Pm-3m
* magnetization: 0.68 Bohr magnetons per cell
* excess energy over the best structure of this formula in the dataset: 1773 meV per atom
* DOS at the Fermi energy: 1.7215 states/eV per atom

---

Record 2
VASP calculation (GGA-PBE) on a relaxed CaRe2Tc crystal.

```
4
Lattice="4.843 -1.511 0.000 4.843 1.511 0.000 -1.544 0.000 5.019" Properties=species:S:1:pos:R:3 pbc="T T T"
Ca 0.000 0.000 0.000
Re 1.074 0.000 3.304
Re 4.043 0.000 2.518
Tc 7.095 0.000 1.495
```

Summary:
* energy of formation from the pure elements: 0.53 eV per atom
* symmetry: Cm
* magnetization: 0.00 Bohr magnetons per cell
* excess energy over the best structure of this formula in the dataset: 63 meV per atom
* DOS at the Fermi energy: 0.7513 states/eV per atom

---

Record 3
VASP calculation (GGA-PBE) on a relaxed RbAcTeAu crystal.

```
4
Lattice="0.000 4.063 4.063 4.063 0.000 4.063 4.063 4.063 0.000" Properties=species:S:1:pos:R:3 pbc="T T T"
Rb 0.000 0.000 0.000
Ac 4.063 4.063 4.063
Te 2.031 2.031 2.031
Au 6.094 6.094 6.094
```

Summary:
* symmetry: F-43m
* magnetization: 0.01 Bohr magnetons per cell
* DOS at the Fermi energy: 1.1035 states/eV per atom
* formation energy from raw total energies: -0.706 eV per atom

---

Record 4
VASP calculation (GGA-PBE) on a relaxed MnSiP2 crystal.

```
4
Lattice="1.393 0.804 8.229 -1.393 0.804 8.229 0.000 -1.609 8.229" Properties=species:S:1:pos:R:3 pbc="T T T"
Mn 0.000 0.000 0.000
Si 0.000 0.000 12.344
P 0.000 0.000 6.596
P 0.000 0.000 18.092
```

Summary:
* symmetry: R-3m
* magnetization: 0.00 Bohr magnetons per cell
* DOS at the Fermi energy: 0.4823 states/eV per atom
* formation energy from raw total energies: 0.081 eV per atom

---

Record 5
VASP calculation (GGA-PBE) on a relaxed Pr6InTc2 crystal.

```
18
Lattice="-4.964 5.072 5.361 4.964 -5.072 5.361 4.964 5.072 -5.361" Properties=species:S:1:pos:R:3 pbc="T T T"
Pr 4.964 2.888 -2.900
Pr 2.832 1.948 0.000
Pr 7.097 1.948 0.000
Pr 2.079 5.072 -2.006
Pr 2.885 0.000 3.355
Pr 0.000 2.184 2.461
Pr 4.964 2.888 2.900
Pr 2.079 5.072 2.006
Pr 2.885 0.000 7.368
Pr -2.133 3.124 5.361
Pr 2.133 3.124 5.361
Pr 0.000 2.184 8.262
In 0.000 0.000 0.000
In 0.000 0.000 5.361
Tc 4.964 0.000 1.180
Tc 0.000 3.885 0.000
Tc 0.000 6.258 0.000
Tc 0.000 5.072 4.181
```

Summary:
* energy of formation from the pure elements: -0.07 eV per atom
* symmetry: Immm
* magnetization: 0.00 Bohr magnetons per cell
* DOS at the Fermi energy: 1.0115 states/eV per atom

---

Record 6
VASP calculation (GGA-PBE) on a relaxed CaCe3Ga2 crystal.

```
12
Lattice="8.883 -2.217 0.000 8.883 2.217 0.000 -3.932 0.000 7.634" Properties=species:S:1:pos:R:3 pbc="T T T"
Ca 1.777 0.000 0.270
Ca 12.056 0.000 7.364
Ce -0.572 0.000 3.471
Ce 2.739 0.000 4.574
Ce 5.464 0.000 2.369
Ce 8.370 0.000 5.265
Ce 11.095 0.000 3.060
Ce 14.406 0.000 4.163
Ga 0.840 0.000 6.931
Ga 5.334 0.000 6.248
Ga 8.499 0.000 1.386
Ga 12.993 0.000 0.703
```

Summary:
* energy of formation from the pure elements: -0.28 eV per atom
* symmetry: C2/m
* magnetization: 0.01 Bohr magnetons per cell
* DOS at the Fermi energy: 1.8630 states/eV per atom

---

Record 7
VASP calculation (GGA-PBE) on a relaxed ThCo3Ge2 crystal.

```
12
Lattice="7.650 -1.972 0.000 7.650 1.972 0.000 -3.080 0.000 6.333" Properties=species:S:1:pos:R:3 pbc="T T T"
Th 2.086 0.000 0.466
Th 10.134 0.000 5.867
Co -0.655 0.000 2.387
Co 3.108 0.000 3.507
Co 5.241 0.000 2.237
Co 6.979 0.000 4.096
Co 9.111 0.000 2.827
Co 12.875 0.000 3.946
Ge 0.814 0.000 4.223
Ge 4.834 0.000 5.096
Ge 7.386 0.000 1.238
Ge 11.406 0.000 2.110
```

Summary:
* energy of formation from the pure elements: -0.42 eV per atom
* symmetry: C2/m
* magnetization: 4.55 Bohr magnetons per cell
* DOS at the Fermi energy: 0.8089 states/eV per atom

---

Record 8
VASP calculation (GGA-PBE) on a relaxed DyYTm crystal.

```
6
Lattice="4.806 0.000 0.000 0.000 4.806 0.000 0.000 0.000 8.553" Properties=species:S:1:pos:R:3 pbc="T T T"
Dy 1.202 1.202 1.682
Dy 3.605 3.605 6.871
Y 1.202 3.605 4.276
Y 3.605 1.202 4.276
Tm 1.202 1.202 6.832
Tm 3.605 3.605 1.721
```

Summary:
* energy of formation from the pure elements: 0.23 eV per atom
* symmetry: P4/nmm
* magnetization: 0.00 Bohr magnetons per cell
* excess energy over the best structure of this formula in the dataset: 203 meV per atom
* DOS at the Fermi energy: 1.3656 states/eV per atom

---

Record 9
VASP calculation (GGA-PBE) on a relaxed ScCd4Ag2 crystal.

```
7
Lattice="4.711 0.000 0.000 0.000 4.711 0.000 0.000 0.000 6.933" Properties=species:S:1:pos:R:3 pbc="T T T"
Sc 0.000 0.000 0.000
Cd 0.000 2.356 1.885
Cd 0.000 2.356 5.048
Cd 2.356 0.000 1.885
Cd 2.356 0.000 5.048
Ag 0.000 0.000 3.466
Ag 2.356 2.356 0.000
```

Summary:
* energy of formation from the pure elements: -0.11 eV per atom
* symmetry: P4/mmm
* magnetization: 0.00 Bohr magnetons per cell
* DOS at the Fermi energy: 0.6455 states/eV per atom

---

Record 10
VASP calculation (GGA-PBE) on a relaxed ErThCoRu crystal.

```
4
Lattice="0.000 3.438 3.438 3.438 0.000 3.438 3.438 3.438 0.000" Properties=species:S:1:pos:R:3 pbc="T T T"
Er 0.000 0.000 0.000
Th 3.438 3.438 3.438
Co 5.157 5.157 5.157
Ru 1.719 1.719 1.719
```

Summary:
* energy of formation from the pure elements: -0.31 eV per atom
* symmetry: F-43m
* magnetization: 0.53 Bohr magnetons per cell
* DOS at the Fermi energy: 0.2543 states/eV per atom

---

Record 11
VASP calculation (GGA-PBE) on a relaxed Sr3TmAg4 crystal.

```
8
Lattice="3.801 0.000 0.000 0.000 3.801 0.000 0.000 0.000 15.670" Properties=species:S:1:pos:R:3 pbc="T T T"
Sr 0.000 0.000 0.000
Sr 0.000 0.000 4.071
Sr 0.000 0.000 11.598
Tm 0.000 0.000 7.835
Ag 1.900 1.900 2.027
Ag 1.900 1.900 6.286
Ag 1.900 1.900 9.384
Ag 1.900 1.900 13.643
```

Summary:
* energy of formation from the pure elements: -0.27 eV per atom
* symmetry: P4/mmm
* magnetization: 0.00 Bohr magnetons per cell
* DOS at the Fermi energy: 0.8443 states/eV per atom

---

Record 12
VASP calculation (GGA-PBE) on a relaxed LiGdTmIr crystal.

```
4
Lattice="0.000 3.469 3.469 3.469 0.000 3.469 3.469 3.469 0.000" Properties=species:S:1:pos:R:3 pbc="T T T"
Li 0.000 0.000 0.000
Gd 1.734 1.734 1.734
Tm 5.203 5.203 5.203
Ir 3.469 3.469 3.469
```

Summary:
* energy of formation from the pure elements: -0.57 eV per atom
* symmetry: F-43m
* magnetization: 7.15 Bohr magnetons per cell
* DOS at the Fermi energy: 0.6480 states/eV per atom